(1)
Density functional theory data (PBE-GGA) for an optimized crystal structure of MgPaH6Ru.

Properties
SG ... No. 187
Calculated total energy ... -42.27 eV/cell

Lattice parameters (Å, degrees): 4.518 4.518 4.439 90.00 90.00 120.00
Fractional coordinates of all 9 atoms:
Mg (0.000, 0.000, 0.000)
Pa (0.667, 0.333, 0.500)
H (0.181, 0.362, 0.296)
H (0.181, 0.362, 0.704)
H (0.181, 0.819, 0.296)
H (0.181, 0.819, 0.704)
H (0.638, 0.819, 0.296)
H (0.638, 0.819, 0.704)
Ru (0.333, 0.667, 0.000)

(2)
Density functional theory data (PBE-GGA) for an optimized crystal structure of Mg3HPb.

Properties
SG ... No. 14
ΔE to the lowest computed polymorph ... 0.0 meV/atom

Lattice parameters (Å, degrees): 7.284 6.474 10.603 90.00 125.95 90.00
Fractional coordinates of all 20 atoms:
Mg (0.102, 0.121, 0.424)
Mg (0.102, 0.379, 0.924)
Mg (0.136, 0.625, 0.448)
Mg (0.136, 0.875, 0.948)
Mg (0.373, 0.629, 0.830)
Mg (0.373, 0.871, 0.330)
Mg (0.627, 0.129, 0.670)
Mg (0.627, 0.371, 0.170)
Mg (0.864, 0.125, 0.052)
Mg (0.864, 0.375, 0.552)
Mg (0.898, 0.621, 0.076)
Mg (0.898, 0.879, 0.576)
H (0.070, 0.621, 0.607)
H (0.070, 0.879, 0.107)
H (0.930, 0.121, 0.893)
H (0.930, 0.379, 0.393)
Pb (0.336, 0.132, 0.794)
Pb (0.336, 0.368, 0.294)
Pb (0.664, 0.632, 0.706)
Pb (0.664, 0.868, 0.206)

(3)
Density functional theory data (PBE-GGA) for an optimized crystal structure of Mg3HPb.

Properties
SG ... No. 221
ΔE to the lowest computed polymorph ... 743.4 meV/atom

Lattice parameters (Å, degrees): 5.547 5.547 5.547 90.00 90.00 90.00
Fractional coordinates of all 5 atoms:
Mg (0.000, 0.000, 0.500)
Mg (0.000, 0.500, 0.000)
Mg (0.500, 0.000, 0.000)
H (0.500, 0.500, 0.500)
Pb (0.000, 0.000, 0.000)

(4)
Density functional theory data (PBE-GGA) for an optimized crystal structure of Mg3HPb.

Properties
SG ... No. 221
ΔE to the lowest computed polymorph ... 17.3 meV/atom

Lattice parameters (Å, degrees): 4.560 4.560 4.560 90.00 90.00 90.00
Fractional coordinates of all 5 atoms:
Mg (0.000, 0.000, 0.500)
Mg (0.000, 0.500, 0.000)
Mg (0.500, 0.000, 0.000)
H (0.000, 0.000, 0.000)
Pb (0.500, 0.500, 0.500)

(5)
Density functional theory data (PBE-GGA) for an optimized crystal structure of Mg5HPb2.

Properties
SG ... No. 107
Calculated total energy ... -18.60 eV/cell

Lattice parameters (Å, degrees): 6.299 6.299 6.299 118.50 118.50 92.62
Fractional coordinates of all 8 atoms:
Mg (0.000, 0.000, 0.000)
Mg (0.006, 0.006, 0.501)
Mg (0.006, 0.505, 0.000)
Mg (0.505, 0.006, 0.000)
Mg (0.505, 0.505, 0.499)
H (0.234, 0.234, 0.000)
Pb (0.007, 0.507, 0.500)
Pb (0.507, 0.007, 0.500)

(6)
Density functional theory data (PBE-GGA) for an optimized crystal structure of MgH2Pb.

Properties
SG ... No. 122
ΔE to the lowest computed polymorph ... 0.0 meV/atom

Lattice parameters (Å, degrees): 5.885 5.885 5.885 126.22 126.22 79.53
Fractional coordinates of all 8 atoms:
Mg (0.000, 0.000, 0.000)
Mg (0.750, 0.250, 0.500)
H (0.375, 0.240, 0.365)
H (0.760, 0.125, 0.135)
H (0.875, 0.010, 0.635)
H (0.990, 0.625, 0.865)
Pb (0.250, 0.750, 0.500)
Pb (0.500, 0.500, 0.000)

(7)
Density functional theory data (PBE-GGA) for an optimized crystal structure of MgH2Pb.

Properties
SG ... No. 225
ΔE to the lowest computed polymorph ... 369.4 meV/atom

Lattice parameters (Å, degrees): 4.356 4.356 4.356 60.00 60.00 60.00
Fractional coordinates of all 4 atoms:
Mg (0.000, 0.000, 0.000)
H (0.250, 0.250, 0.250)
H (0.750, 0.750, 0.750)
Pb (0.500, 0.500, 0.500)

(8)
Density functional theory data (PBE-GGA) for an optimized crystal structure of MgHPb.

Properties
SG ... No. 11
ΔE to the lowest computed polymorph ... 0.0 meV/atom

Lattice parameters (Å, degrees): 4.282 3.880 6.560 90.00 90.06 90.00
Fractional coordinates of all 6 atoms:
Mg (0.249, 0.250, 0.116)
Mg (0.751, 0.750, 0.884)
H (0.249, 0.750, 0.006)
H (0.751, 0.250, 0.994)
Pb (0.250, 0.250, 0.606)
Pb (0.750, 0.750, 0.394)

(9)
Density functional theory data (PBE-GGA) for an optimized crystal structure of MgHPb.

Properties
SG ... No. 187
ΔE to the lowest computed polymorph ... 20.4 meV/atom

Lattice parameters (Å, degrees): 3.372 3.372 5.623 90.00 90.00 120.00
Fractional coordinates of all 3 atoms:
Mg (0.000, 0.000, 0.000)
H (0.667, 0.333, 0.000)
Pb (0.333, 0.667, 0.500)

(10)
Density functional theory data (PBE-GGA) for an optimized crystal structure of Mg3HPb2.

Properties
SG ... No. 15
Calculated total energy ... -31.08 eV/cell

Lattice parameters (Å, degrees): 8.445 8.445 6.697 101.24 101.24 35.74
Fractional coordinates of all 12 atoms:
Mg (0.053, 0.947, 0.750)
Mg (0.365, 0.390, 0.189)
Mg (0.390, 0.365, 0.689)
Mg (0.610, 0.635, 0.311)
Mg (0.635, 0.610, 0.811)
Mg (0.947, 0.053, 0.250)
H (0.437, 0.563, 0.750)
H (0.563, 0.437, 0.250)
Pb (0.171, 0.173, 0.084)
Pb (0.173, 0.171, 0.584)
Pb (0.827, 0.829, 0.416)
Pb (0.829, 0.827, 0.916)

(11)
Density functional theory data (PBE-GGA) for an optimized crystal structure of MgH2Pd7Pb2.

Properties
SG ... No. 12
Calculated total energy ... -55.86 eV/cell

Lattice parameters (Å, degrees): 4.039 4.039 11.577 99.81 99.81 90.01
Fractional coordinates of all 12 atoms:
Mg (0.000, 0.000, 0.000)
H (0.416, 0.416, 0.833)
H (0.584, 0.584, 0.167)
Pd (0.088, 0.588, 0.180)
Pd (0.323, 0.323, 0.640)
Pd (0.412, 0.912, 0.820)
Pd (0.500, 0.500, 0.000)
Pd (0.588, 0.088, 0.180)
Pd (0.677, 0.677, 0.360)
Pd (0.912, 0.412, 0.820)
Pb (0.189, 0.189, 0.385)
Pb (0.811, 0.811, 0.615)

(12)
Density functional theory data (PBE-GGA) for an optimized crystal structure of Mg2HPdPb.

Properties
SG ... No. 123
Calculated total energy ... -16.57 eV/cell

Lattice parameters (Å, degrees): 4.994 4.994 3.472 90.00 90.00 90.00
Fractional coordinates of all 5 atoms:
Mg (0.000, 0.500, 0.000)
Mg (0.500, 0.000, 0.000)
H (0.000, 0.000, 0.000)
Pd (0.000, 0.000, 0.500)
Pb (0.500, 0.500, 0.500)